No. 1
Ho3Ag3RhO8 | PBE | relaxed

Lattice parameters (Å, degrees): 6.7218 6.7200 6.9265 119.14 90.00 120.01
Atoms (fractional coordinates):
O  0.2157  0.4313  0.6895
O  0.2410  0.0252  0.3103
O  0.7292  0.4585  0.6869
O  0.2708  0.5415  0.3131
O  0.7590  0.9748  0.6897
O  0.7842  0.0252  0.3103
O  0.7843  0.5687  0.3105
O  0.2158  0.9748  0.6897
Ag  0.5000  0.5000  0.0000
Ag  0.0000  0.5000  0.0000
Ag  0.0000  0.0000  0.0000
Ho  0.0000  0.5000  0.5000
Ho  0.5000  0.5000  0.5000
Ho  0.5000  0.0000  0.5000
Rh  0.0000  0.0000  0.5000

Properties
Crystal system: monoclinic
DOS at the Fermi energy in states/eV per atom: 0.562
Formation energy from raw total energies in eV per formula unit: -27.13
Total moment in μB per formula unit: 1.088

---

No. 2
Ho3Ag3RuO8 | PBE | relaxed

Lattice parameters (Å, degrees): 6.7287 6.7274 6.9423 119.08 90.00 120.01
Atoms (fractional coordinates):
Ho  0.0000  0.5000  0.5000
Ho  0.5000  0.0000  0.5000
Ho  0.5000  0.5000  0.5000
O  0.7857  0.5714  0.3127
O  0.7288  0.4575  0.6856
O  0.2144  0.9737  0.6875
O  0.2712  0.5425  0.3144
O  0.7856  0.0263  0.3125
O  0.2143  0.4286  0.6873
O  0.2407  0.0263  0.3125
O  0.7593  0.9737  0.6875
Ag  0.0000  0.5000  0.0000
Ag  0.5000  0.5000  0.0000
Ag  0.0000  0.0000  0.0000
Ru  0.0000  0.0000  0.5000

Properties
Crystal system: monoclinic
DOS at the Fermi energy in states/eV per atom: 0.437
Formation energy from raw total energies in eV per formula unit: -27.64
Total moment in μB per formula unit: 2.000